(1)
Density functional theory data (PBE) for a relaxed structure of LiSc3Ta.

The crystal system is cubic. The formation energy comes out at 0.669 eV/atom.

The space group is Pm-3m (No. 221) and the conventional cell measures 5.225, 5.225 and 5.225 Å, with angles of 90.00, 90.00 and 90.00 degrees. Symmetry generates all atoms from Li at (0.000, 0.000, 0.000), Sc at (0.000, 0.500, 0.500) and Ta at (0.500, 0.500, 0.500).

---

(2)
Density functional theory data (PBE) for a relaxed structure of SmPb5.

The crystal system is orthorhombic. The formation energy comes out at -0.126 eV/atom.

The space group is Cmmm (No. 65) and the conventional cell measures 5.796, 11.043 and 5.782 Å, with angles of 90.00, 90.00 and 90.00 degrees. Symmetry generates all atoms from Sm at (0.000, 0.000, 0.000), Pb at (0.000, 0.158, 0.500), Pb at (0.000, 0.320, 0.000) and Pb at (0.000, 0.500, 0.500).

---

(3)
Density functional theory data (PBE) for a relaxed structure of BaNa5.

The crystal system is orthorhombic. The formation energy comes out at 0.036 eV/atom.

The space group is Cmmm (No. 65) and the conventional cell measures 6.442, 19.027 and 4.161 Å, with angles of 90.00, 90.00 and 90.00 degrees. Symmetry generates all atoms from Ba at (0.000, 0.000, 0.000), Na at (0.000, 0.184, 0.500), Na at (0.000, 0.346, 0.000) and Na at (0.000, 0.500, 0.500).

---

(4)
Density functional theory data (PBE) for a relaxed structure of NiMo3Ru.

The crystal system is cubic. The formation energy comes out at 1.805 eV/atom.

The space group is Pm-3m (No. 221) and the conventional cell measures 4.640, 4.640 and 4.640 Å, with angles of 90.00, 90.00 and 90.00 degrees. Symmetry generates all atoms from Ni at (0.000, 0.000, 0.000), Mo at (0.000, 0.500, 0.500) and Ru at (0.500, 0.500, 0.500).

---

(5)
Density functional theory data (PBE) for a relaxed structure of TlCoTe2.

The value obtained for the uncorrected formation energy is 3.85 kcal/mol of atoms. The crystal system is orthorhombic.

The space group is Pmmm (No. 47) and the conventional cell measures 3.241, 3.351 and 9.050 Å, with angles of 90.00, 90.00 and 90.00 degrees. Symmetry generates all atoms from Tl at (0.000, 0.000, 0.000), Co at (0.000, 0.000, 0.500) and Te at (0.500, 0.500, 0.327).

---

(6)
Density functional theory data (PBE) for a relaxed structure of CrAs2Rh.

The crystal system is orthorhombic. The formation energy comes out at -0.071 eV/atom.

The space group is Cmmm (No. 65) and the conventional cell measures 6.312, 6.348 and 2.987 Å, with angles of 90.00, 90.00 and 90.00 degrees. Symmetry generates all atoms from Cr at (0.000, 0.000, 0.000), As at (0.250, 0.250, 0.500) and Rh at (0.000, 0.500, 0.000).

---

| no. | volume (Å³ per atom) | Fermi-level density of states (states/eV/f.u.) |
| --- | --- | --- |
| 1 | 28.533 | 4.8 |
| 2 | 30.841 | 3.2 |
| 3 | 42.499 | 3.8 |
| 4 | 19.979 | 6.2 |
| 5 | 24.572 | 2.4 |
| 6 | 14.958 | 4.0 |